#one
Entry from Alexandria: crystalline Sc2TlW at its relaxed geometry (PBE).

Cell lengths 10.551, 10.551, 10.551 Å; angles 157.18, 157.18, 32.49 degrees
Positions (direct):
Sc  0.111  0.625  0.986
Sc  0.375  0.361  0.486
Sc  0.639  0.125  0.014
Sc  0.875  0.889  0.514
Tl  0.250  0.750  0.500
Tl  0.500  0.500  0.000
W  0.000  0.000  0.000
W  0.750  0.250  0.500

Results
**Space-group type**: I-42d (122)
**Calculated volume**: 176.5 Å³ per cell
**Total magnetization**: 0.8 μB/f.u.
**Mass density**: 9.0 g/cm3


#two
Entry from Alexandria: crystalline Sc2TlW at its relaxed geometry (PBE).

Cell lengths 4.855, 4.855, 4.855 Å; angles 60.00, 60.00, 60.00 degrees
Positions (direct):
Sc  0.000  0.000  0.000
Sc  0.250  0.250  0.250
Tl  0.500  0.500  0.500
W  0.750  0.750  0.750

Results
**Space-group type**: F-43m (216)
**Calculated volume**: 80.9 Å³ per cell
**Total magnetization**: 1.0 μB/f.u.
**Mass density**: 9.8 g/cm3


#three
Entry from Alexandria: crystalline Sc2TlW at its relaxed geometry (PBE).

Cell lengths 9.859, 9.859, 9.859 Å; angles 18.54, 18.54, 18.54 degrees
Positions (direct):
Sc  0.244  0.244  0.244
Sc  0.756  0.756  0.756
Tl  0.000  0.000  0.000
W  0.500  0.500  0.500

Results
**Space-group type**: R-3m (166)
**Calculated volume**: 84.7 Å³ per cell
**Total magnetization**: 0.0 μB/f.u.
**Mass density**: 9.4 g/cm3


Most stable: #three (next structure +21.7 kJ/mol of atoms)


#one
Entry from Alexandria: crystalline Sc2TlW at its relaxed geometry (PBE).

Cell lengths 3.393, 3.436, 7.155 Å; angles 90.00, 90.00, 90.00 degrees
Positions (direct):
Sc  0.000  0.000  0.219
Sc  0.000  0.000  0.781
Tl  0.500  0.500  0.500
W  0.500  0.500  0.000

Results
**Space-group type**: Pmmm (47)
**Calculated volume**: 83.4 Å³ per cell
**Total magnetization**: 0.0 μB/f.u.
**Mass density**: 9.5 g/cm3


#two
Entry from Alexandria: crystalline Sc2TlW at its relaxed geometry (PBE).

Cell lengths 5.391, 5.391, 5.354 Å; angles 97.97, 97.97, 32.59 degrees
Positions (direct):
Sc  0.000  0.000  0.000
Sc  0.224  0.224  0.699
Tl  0.750  0.750  0.219
W  0.483  0.483  0.513

Results
**Space-group type**: Cm (8)
**Calculated volume**: 82.9 Å³ per cell
**Total magnetization**: 0.0 μB/f.u.
**Mass density**: 9.6 g/cm3


#three
Entry from Alexandria: crystalline Sc2TlW at its relaxed geometry (PBE).

Cell lengths 10.268, 10.268, 10.268 Å; angles 17.49, 17.49, 17.49 degrees
Positions (direct):
Sc  0.000  0.000  0.000
Sc  0.243  0.243  0.243
Tl  0.752  0.752  0.752
W  0.499  0.499  0.499

Results
**Space-group type**: R3m (160)
**Calculated volume**: 85.4 Å³ per cell
**Total magnetization**: 0.8 μB/f.u.
**Mass density**: 9.3 g/cm3


Most stable: #one (next structure +17.3 kJ/mol of atoms)